Record 1
# PBE AcPrSiBr, optimized geometry
data_AcPrSiBr
_cell_length_a 7.639
_cell_length_b 7.639
_cell_length_c 7.639
_cell_angle_alpha 90.00
_cell_angle_beta 90.00
_cell_angle_gamma 90.00
_space_group_name_H-M_alt 'F -4 3 m'
_space_group_IT_number 216
_space_group_name_Hall 'F -4 2 3'
loop_
_atom_site_label
_atom_site_fract_x
_atom_site_fract_y
_atom_site_fract_z
Ac1 0.000 0.000 0.000
Pr1 0.000 0.000 0.500
Si1 0.250 0.250 0.250
Br1 0.250 0.250 0.750
# ΔE_f (raw): -0.84 eV/atom
# calculated volume: 111.5 Å³/f.u.
# DOS at the Fermi energy: 2.52 states/eV/f.u.


Record 2
# PBE AcPrTeBr, optimized geometry
data_AcPrTeBr
_cell_length_a 7.843
_cell_length_b 7.843
_cell_length_c 7.843
_cell_angle_alpha 90.00
_cell_angle_beta 90.00
_cell_angle_gamma 90.00
_space_group_name_H-M_alt 'F -4 3 m'
_space_group_IT_number 216
_space_group_name_Hall 'F -4 2 3'
loop_
_atom_site_label
_atom_site_fract_x
_atom_site_fract_y
_atom_site_fract_z
Ac1 0.000 0.000 0.000
Pr1 0.000 0.000 0.500
Te1 0.250 0.250 0.750
Br1 0.250 0.250 0.250
# ΔE_f (raw): -1.24 eV/atom
# calculated volume: 120.6 Å³/f.u.
# DOS at the Fermi energy: 4.15 states/eV/f.u.


Record 3
# PBE Ac2PtBr, optimized geometry
data_Ac2PtBr
_cell_length_a 4.4360
_cell_length_b 4.4360
_cell_length_c 25.0633
_cell_angle_alpha 90.00
_cell_angle_beta 90.00
_cell_angle_gamma 120.00
_space_group_name_H-M_alt 'R 3 m'
_space_group_IT_number 160
_space_group_name_Hall 'R 3 -2"'
loop_
_atom_site_label
_atom_site_fract_x
_atom_site_fract_y
_atom_site_fract_z
Ac1 0.0000 0.0000 0.0000
Ac2 0.0000 0.0000 0.2043
Pt1 0.0000 0.0000 0.6022
Br1 0.0000 0.0000 0.4326
# ΔE_f (raw): -1.33 eV/atom
# calculated volume: 142.4 Å³/f.u.
# energy relative to the lowest polymorph listed for this composition: 0.019 eV/atom
# DOS at the Fermi energy: 2.73 states/eV/f.u.


Record 4
# PBE Ac3Pt2Br, optimized geometry
data_Ac3Pt2Br
_cell_length_a 4.444
_cell_length_b 16.016
_cell_length_c 12.484
_cell_angle_alpha 90.00
_cell_angle_beta 90.00
_cell_angle_gamma 90.00
_space_group_name_H-M_alt 'C m c m'
_space_group_IT_number 63
_space_group_name_Hall '-C 2c 2'
loop_
_atom_site_label
_atom_site_fract_x
_atom_site_fract_y
_atom_site_fract_z
Ac1 0.000 0.015 0.250
Ac2 0.000 0.375 0.508
Pt1 0.000 0.000 0.000
Pt2 0.000 0.360 0.750
Br1 0.000 0.349 0.250
# ΔE_f (raw): -1.05 eV/atom
# calculated volume: 222.2 Å³/f.u.
# DOS at the Fermi energy: 2.55 states/eV/f.u.


Record 5
# PBE AcPt4Br, optimized geometry
data_AcPt4Br
_cell_length_a 7.860
_cell_length_b 7.860
_cell_length_c 7.860
_cell_angle_alpha 90.00
_cell_angle_beta 90.00
_cell_angle_gamma 90.00
_space_group_name_H-M_alt 'F -4 3 m'
_space_group_IT_number 216
_space_group_name_Hall 'F -4 2 3'
loop_
_atom_site_label
_atom_site_fract_x
_atom_site_fract_y
_atom_site_fract_z
Ac1 0.000 0.000 0.000
Pt1 0.125 0.125 0.375
Br1 0.250 0.250 0.750
# ΔE_f (raw): -0.63 eV/atom
# calculated volume: 121.4 Å³/f.u.
# DOS at the Fermi energy: 3.04 states/eV/f.u.


Record 6
# PBE Ac2PtBr, optimized geometry
data_Ac2PtBr
_cell_length_a 3.756
_cell_length_b 3.756
_cell_length_c 8.670
_cell_angle_alpha 90.00
_cell_angle_beta 90.00
_cell_angle_gamma 90.00
_space_group_name_H-M_alt 'P 4/m m m'
_space_group_IT_number 123
_space_group_name_Hall '-P 4 2'
loop_
_atom_site_label
_atom_site_fract_x
_atom_site_fract_y
_atom_site_fract_z
Ac1 0.000 0.000 0.210
Pt1 0.500 0.500 0.000
Br1 0.500 0.500 0.500
# ΔE_f (raw): -1.09 eV/atom
# calculated volume: 122.3 Å³/f.u.
# energy relative to the lowest polymorph listed for this composition: 0.256 eV/atom
# DOS at the Fermi energy: 3.14 states/eV/f.u.


Question: Which formula does entry 6 have?
Answer: Ac2PtBr


Question: ΔE_f (raw) of number 4 (Ac3Pt2Br)?
Answer: -1.05 eV/atom


Question: Which value of calculated volume does entry 2 give?
Answer: 120.6 Å³/f.u.


Question: Which of these has the highest ΔE_f (raw)?
Answer: AcPt4Br